1.
Below is a relaxed Hg2OsAu crystal, with properties calculated at the PBE level.

```
data_Hg2OsAu
_chemical_formula_sum 'Hg2 Os1 Au1'
_symmetry_space_group_name_H-M 'P 1'
_symmetry_Int_Tables_number 1
_symmetry_space_group_name_Hall 'P 1'
_cell_length_a 4.7210
_cell_length_b 4.7210
_cell_length_c 4.7210
_cell_angle_alpha 60.00
_cell_angle_beta 60.00
_cell_angle_gamma 60.00
loop_
_atom_site_label
_atom_site_type_symbol
_atom_site_fract_x
_atom_site_fract_y
_atom_site_fract_z
Os1 Os 0.7500 0.7500 0.7500
Hg1 Hg 0.2500 0.2500 0.2500
Hg2 Hg 0.0000 0.0000 0.0000
Au1 Au 0.5000 0.5000 0.5000
```

Summary:
The energy above the most stable polymorph in this dataset is 279 meV per atom.



2.
Below is a relaxed HgOsAu2 crystal, with properties calculated at the PBE level.

```
data_HgOsAu2
_chemical_formula_sum 'Hg1 Os1 Au2'
_symmetry_space_group_name_H-M 'P 1'
_symmetry_Int_Tables_number 1
_symmetry_space_group_name_Hall 'P 1'
_cell_length_a 2.8733
_cell_length_b 2.8733
_cell_length_c 10.0522
_cell_angle_alpha 90.00
_cell_angle_beta 90.00
_cell_angle_gamma 120.09
loop_
_atom_site_label
_atom_site_type_symbol
_atom_site_fract_x
_atom_site_fract_y
_atom_site_fract_z
Au1 Au 0.5000 0.5000 0.2433
Au2 Au 0.0000 0.0000 0.9927
Hg1 Hg 0.0000 0.0000 0.5074
Os1 Os 0.5000 0.5000 0.7566
```



3.
Below is a relaxed HgOsAu crystal, with properties calculated at the PBE level.

```
data_HgOsAu
_chemical_formula_sum 'Hg1 Os1 Au1'
_symmetry_space_group_name_H-M 'P 1'
_symmetry_Int_Tables_number 1
_symmetry_space_group_name_Hall 'P 1'
_cell_length_a 4.4916
_cell_length_b 4.4916
_cell_length_c 4.4916
_cell_angle_alpha 60.00
_cell_angle_beta 60.00
_cell_angle_gamma 60.00
loop_
_atom_site_label
_atom_site_type_symbol
_atom_site_fract_x
_atom_site_fract_y
_atom_site_fract_z
Os1 Os 0.2500 0.2500 0.2500
Hg1 Hg 0.5000 0.5000 0.5000
Au1 Au 0.0000 0.0000 0.0000
```

Summary:
The energy above the most stable polymorph in this dataset is 453 meV per atom.



4.
Below is a relaxed HgOsAu2 crystal, with properties calculated at the PBE level.

```
data_HgOsAu2
_chemical_formula_sum 'Hg1 Os1 Au2'
_symmetry_space_group_name_H-M 'P 1'
_symmetry_Int_Tables_number 1
_symmetry_space_group_name_Hall 'P 1'
_cell_length_a 4.1478
_cell_length_b 2.7730
_cell_length_c 6.8153
_cell_angle_alpha 66.10
_cell_angle_beta 90.00
_cell_angle_gamma 90.00
loop_
_atom_site_label
_atom_site_type_symbol
_atom_site_fract_x
_atom_site_fract_y
_atom_site_fract_z
Au1 Au 0.0000 0.4792 0.5204
Au2 Au 0.0000 0.0208 0.9796
Hg1 Hg 0.5000 0.2500 0.2500
Os1 Os 0.5000 0.7500 0.7500
```



5.
Below is a relaxed Hg2OsAu crystal, with properties calculated at the PBE level.

```
data_Hg2OsAu
_chemical_formula_sum 'Hg2 Os1 Au1'
_symmetry_space_group_name_H-M 'P 1'
_symmetry_Int_Tables_number 1
_symmetry_space_group_name_Hall 'P 1'
_cell_length_a 4.2346
_cell_length_b 2.8736
_cell_length_c 6.7324
_cell_angle_alpha 64.97
_cell_angle_beta 90.00
_cell_angle_gamma 90.00
loop_
_atom_site_label
_atom_site_type_symbol
_atom_site_fract_x
_atom_site_fract_y
_atom_site_fract_z
Hg1 Hg 0.0000 0.5091 0.4902
Hg2 Hg 0.0000 0.9909 0.0098
Au1 Au 0.5000 0.7500 0.7500
Os1 Os 0.5000 0.2500 0.2500
```

Summary:
The energy above the most stable polymorph in this dataset is 117 meV per atom.



6.
Below is a relaxed Hg2OsAu crystal, with properties calculated at the PBE level.

```
data_Hg2OsAu
_chemical_formula_sum 'Hg2 Os1 Au1'
_symmetry_space_group_name_H-M 'P 1'
_symmetry_Int_Tables_number 1
_symmetry_space_group_name_Hall 'P 1'
_cell_length_a 5.0997
_cell_length_b 5.0997
_cell_length_c 5.0997
_cell_angle_alpha 130.74
_cell_angle_beta 130.74
_cell_angle_gamma 72.23
loop_
_atom_site_label
_atom_site_type_symbol
_atom_site_fract_x
_atom_site_fract_y
_atom_site_fract_z
Hg1 Hg 0.5000 0.5000 0.0000
Hg2 Hg 0.0000 0.0000 0.0000
Au1 Au 0.7500 0.2500 0.5000
Os1 Os 0.2500 0.7500 0.5000
```

Summary:
The energy above the most stable polymorph in this dataset is 197 meV per atom.



These records have N(E_F) values of 3.5, 2.9, 3.4, 2.7, 2.8, 2.7 states/eV/cell, in the order they appear.
These records have calculated formation energy values of 3.47, 2.15, 3.38, 2.44, 2.83, 3.15 eV/f.u., in the order they appear.
These records have electronic total energy values of -2.91, -3.98, -3.81, -3.91, -3.07, -2.99 eV per atom, in the order they appear.